DFT (PBE-GGA) results for a relaxed Pr2YHg2Pb2 crystal.

Output
VASP energy in Ha/atom: -0.1352
Volume in Å³/cell: 209.4
Formation enthalpy at 0 K in eV per atom: -0.244

a = 5.1141 Å, b = 5.1141 Å, c = 9.7055 Å
α = 74.72°, β = 74.72°, γ = 60.00°
Fractional coordinates of all 7 atoms:
Pr 0.1298 0.1298 0.6105
Hg 0.5705 0.5705 0.2884
Y 0.0000 0.0000 0.0000
Pb 0.2772 0.2772 0.1685
Hg 0.4295 0.4295 0.7116
Pb 0.7228 0.7228 0.8315
Pr 0.8702 0.8702 0.3895

---

DFT (PBE-GGA) results for a relaxed HoThFePd crystal.

Output
VASP energy in Ha/atom: -0.2467
Volume in Å³/cell: 85.9
Formation enthalpy at 0 K in eV per atom: -0.299

a = 4.9530 Å, b = 4.9530 Å, c = 4.9530 Å
α = 60.00°, β = 60.00°, γ = 60.00°
Each line ends with the local moment (μB).
Fractional coordinates of all 4 atoms:
Ho 0.2500 0.2500 0.2500  -0.28
Th 0.7500 0.7500 0.7500  -0.19
Fe 0.5000 0.5000 0.5000  1.58
Pd 0.0000 0.0000 0.0000  0.01

---

DFT (PBE-GGA) results for a relaxed Cr2TcPt2 crystal.

Output
VASP energy in Ha/atom: -0.3014
Volume in Å³/cell: 144.3
Formation enthalpy at 0 K in eV per atom: 0.136

a = 6.1883 Å, b = 6.1883 Å, c = 3.7669 Å
α = 90.00°, β = 90.00°, γ = 90.00°
Each line ends with the local moment (μB).
Fractional coordinates of all 10 atoms:
Tc 0.5000 0.5000 0.0000  -0.33
Cr 0.1300 0.3700 0.0000  0.75
Pt 0.8342 0.3342 0.5000  0.00
Tc 0.0000 0.0000 0.0000  -0.33
Pt 0.1658 0.6658 0.5000  0.00
Pt 0.3342 0.1658 0.5000  0.01
Cr 0.3700 0.8700 0.0000  0.79
Cr 0.6300 0.1300 0.0000  0.79
Pt 0.6658 0.8342 0.5000  0.01
Cr 0.8700 0.6300 0.0000  0.75

---

DFT (PBE-GGA) results for a relaxed SmDyTmMg crystal.

Output
VASP energy in Ha/atom: -0.1403
Volume in Å³/cell: 118.0
Formation enthalpy at 0 K in eV per atom: 0.028

a = 5.5048 Å, b = 5.5048 Å, c = 5.5048 Å
α = 60.00°, β = 60.00°, γ = 60.00°
Fractional coordinates of all 4 atoms:
Dy 0.7500 0.7500 0.7500
Sm 0.2500 0.2500 0.2500
Mg 0.5000 0.5000 0.5000
Tm 0.0000 0.0000 0.0000

---

DFT (PBE-GGA) results for a relaxed Mn2AlW crystal.

Output
VASP energy in Ha/atom: -0.3158
Volume in Å³/cell: 55.1
Formation enthalpy at 0 K in eV per atom: 0.164

a = 8.7213 Å, b = 8.7213 Å, c = 8.7213 Å
α = 17.96°, β = 17.96°, γ = 17.96°
Each line ends with the local moment (μB).
Fractional coordinates of all 4 atoms:
Mn 0.9961 0.9961 0.9961  -1.85
Al 0.7443 0.7443 0.7443  0.02
Mn 0.2568 0.2568 0.2568  1.79
W 0.5028 0.5028 0.5028  -0.11

---

DFT (PBE-GGA) results for a relaxed Li2CuAu4 crystal.

Output
VASP energy in Ha/atom: -0.1220
Volume in Å³/cell: 118.1
Formation enthalpy at 0 K in eV per atom: -0.315

a = 5.4453 Å, b = 5.4453 Å, c = 5.4453 Å
α = 94.42°, β = 117.48°, γ = 117.48°
Fractional coordinates of all 7 atoms:
Au 0.5000 0.5000 0.5000
Li 0.5000 0.5000 0.0000
Cu 0.0000 0.0000 0.0000
Au 0.0000 0.0000 0.5000
Au 0.0000 0.5000 0.0000
Au 0.5000 0.0000 0.0000
Li 0.5000 0.0000 0.5000

---

DFT (PBE-GGA) results for a relaxed Ho4Cd2Hg crystal.

Output
VASP energy in Ha/atom: -0.1140
Volume in Å³/cell: 196.4
Formation enthalpy at 0 K in eV per atom: -0.181

a = 5.1994 Å, b = 5.1994 Å, c = 8.9108 Å
α = 73.04°, β = 73.04°, γ = 60.00°
Fractional coordinates of all 7 atoms:
Ho 0.3801 0.3801 0.8597
Ho 0.8721 0.8721 0.3837
Cd 0.2507 0.2507 0.2479
Hg 0.0000 0.0000 0.0000
Ho 0.1279 0.1279 0.6163
Ho 0.6199 0.6199 0.1403
Cd 0.7493 0.7493 0.7521

---

DFT (PBE-GGA) results for a relaxed Na2CuAgCl6 crystal.

Output
VASP energy in Ha/atom: -0.1114
Volume in Å³/cell: 474.2
Formation energy (no corrections) in eV/atom: -0.96

a = 6.6694 Å, b = 6.9230 Å, c = 10.3768 Å
α = 90.00°, β = 81.81°, γ = 90.00°
Fractional coordinates of all 20 atoms:
Cl 0.8163 0.2237 0.0460
Cl 0.3681 0.0388 0.2288
Cl 0.2298 0.8236 0.5801
Cl 0.3163 0.2763 0.5460
Cl 0.1837 0.7763 0.9540
Cl 0.7702 0.1764 0.4199
Cl 0.7298 0.6764 0.0801
Na 0.5268 0.4134 0.2713
Cl 0.6837 0.7237 0.4540
Cl 0.6319 0.9612 0.7712
Ag 0.0000 0.5000 0.5000
Na 0.9732 0.9134 0.2287
Ag 0.5000 0.0000 0.0000
Cl 0.2702 0.3236 0.9199
Cl 0.8681 0.4612 0.7288
Na 0.0268 0.0866 0.7713
Cu 0.0000 0.5000 0.0000
Na 0.4732 0.5866 0.7287
Cu 0.5000 0.0000 0.5000
Cl 0.1319 0.5388 0.2712

---

Which value of VASP energy does entry 4 give?
-0.1403 Ha/atom

---

Among the records above, which one has the lowest VASP energy?
Mn2AlW

---

Among the records above, which one has the highest VASP energy?
Na2CuAgCl6

---

What is the formula in the third record?
Cr2TcPt2